Below is crystalline PrNd2Sn at its relaxed geometry, with properties calculated at the PBE level.

Results
- Magnetization: 0.00 Bohr magnetons per cell
- D(E_F): 4.09 states/eV/f.u.
- Energy relative to the lowest polymorph listed for this composition: 0 meV/atom
- Total DFT energy (no corrections): -20.13 eV per formula unit
- Energy relative to the elements: -452 meV per atom

a b c (Å): 4.9513 4.9732 4.9732
angles (deg): 90.00 90.00 90.00
With the nearest neighbours (Å) after each atom.
Atoms (fractional coordinates):
Nd: 0.0000 0.5000 0.0000  4 Sn 3.51, 4 Pr 3.51, 4 Nd 3.52
Nd: 0.0000 0.0000 0.5000  4 Pr 3.51, 4 Sn 3.51, 4 Nd 3.52
Sn: 0.5000 0.5000 0.5000  8 Nd 3.51, 4 Pr 3.52
Pr: 0.5000 0.0000 0.0000  8 Nd 3.51, 4 Sn 3.52



Below is crystalline Mg2AgRu at its relaxed geometry, with properties calculated at the PBE level.

Results
- Magnetization: 1.36 Bohr magnetons per cell
- D(E_F): 1.83 states/eV/f.u.
- Total DFT energy (no corrections): -14.60 eV per formula unit
- Energy relative to the elements: 180 meV per atom

a b c (Å): 2.9227 2.9227 8.4152
angles (deg): 90.00 90.00 90.06
With the nearest neighbours (Å) after each atom.
Atoms (fractional coordinates):
Ru: 0.0000 0.0000 0.5010  4 Mg 2.77, 4 Ag 2.87-2.88, 4 Ru 2.92
Mg: 0.0000 0.0000 0.9786  4 Ag 2.89, 4 Mg 2.92
Mg: 0.5000 0.5000 0.2819  4 Ru 2.77, 4 Mg 2.92
Ag: 0.5000 0.5000 0.7385  4 Ru 2.87-2.88, 4 Mg 2.89, 4 Ag 2.92



Below is crystalline BeSi2 at its relaxed geometry, with properties calculated at the PBE level.

Results
- Magnetization: 0.00 Bohr magnetons per cell
- D(E_F): 0.62 states/eV/f.u.
- Energy relative to the lowest polymorph listed for this composition: 152 meV/atom
- Total DFT energy (no corrections): -13.35 eV per formula unit

a b c (Å): 5.7246 5.7246 4.4669
angles (deg): 90.00 90.00 147.64
With the nearest neighbours (Å) after each atom.
Atoms (fractional coordinates):
Si: 0.2165 0.7835 0.7500  4 Be 2.38-2.46, 2 Si 2.46
Si: 0.5462 0.4538 0.7500  2 Be 2.45, 4 Si 2.45-2.46
Si: 0.4538 0.5462 0.2500  2 Be 2.45, 4 Si 2.45-2.46
Si: 0.7835 0.2165 0.2500  4 Be 2.38-2.46, 2 Si 2.46
Be: 0.1231 0.8769 0.2500  6 Si 2.38-2.46
Be: 0.8769 0.1231 0.7500  6 Si 2.38-2.46



Below is crystalline AcHg2Pd at its relaxed geometry, with properties calculated at the PBE level.

Results
- Magnetization: 0.00 Bohr magnetons per cell
- D(E_F): 2.64 states/eV/f.u.
- Energy relative to the lowest polymorph listed for this composition: 246 meV/atom
- Total DFT energy (no corrections): -11.25 eV per formula unit
- Energy relative to the elements: -335 meV per atom

a b c (Å): 3.8082 3.8082 6.9405
angles (deg): 90.00 90.00 90.00
With the nearest neighbours (Å) after each atom.
Atoms (fractional coordinates):
Pd: 0.5000 0.5000 0.0000  8 Hg 3.04
Hg: 0.0000 0.0000 0.7957  1 Hg 2.84, 4 Pd 3.04
Hg: 0.0000 0.0000 0.2043  1 Hg 2.84, 4 Pd 3.04
Ac: 0.5000 0.5000 0.5000  8 Hg 3.39, 2 Pd 3.47



Below is crystalline Dy6Te3P2Se at its relaxed geometry, with properties calculated at the PBE level.

Results
- Magnetization: 0.00 Bohr magnetons per cell
- D(E_F): 3.99 states/eV/f.u.
- Total DFT energy (no corrections): -70.11 eV per formula unit

a b c (Å): 4.1338 8.5103 9.4636
angles (deg): 105.02 102.62 90.00
With the nearest neighbours (Å) after each atom.
Atoms (fractional coordinates):
Dy: 0.9856 0.7578 0.9712  1 P 2.73, 2 Se 2.88
Dy: 0.0144 0.2422 0.0288  1 P 2.73, 2 Se 2.88
Dy: 0.3232 0.4390 0.6465  3 P 2.77-2.80
Dy: 0.6660 0.1170 0.3320  2 P 2.77, 1 Se 2.96, 1 Te 3.08
Dy: 0.6768 0.5610 0.3535  3 P 2.77-2.80
Dy: 0.3340 0.8830 0.6680  2 P 2.77, 1 Se 2.96, 1 Te 3.08
P: 0.1678 0.3347 0.3356  6 Dy 2.73-2.80
P: 0.8322 0.6653 0.6644  6 Dy 2.73-2.80
Te: 0.5000 0.5000 0.0000  6 Dy 3.08-3.17
Te: 0.8374 0.1663 0.6748  6 Dy 3.08-3.17
Te: 0.1626 0.8337 0.3252  6 Dy 3.08-3.17
Se: 0.5000 0.0000 0.0000  6 Dy 2.88-2.96



Below is crystalline PmRh2F11 at its relaxed geometry, with properties calculated at the PBE level.

Results
- Magnetization: 4.14 Bohr magnetons per cell
- D(E_F): 9.48 states/eV/f.u.
- Total DFT energy (no corrections): -70.45 eV per formula unit

a b c (Å): 8.8440 8.1802 8.1802
angles (deg): 65.58 57.28 57.28
With the nearest neighbours (Å) after each atom.
Atoms (fractional coordinates):
F: 0.3124 0.3526 0.9107  1 Rh 1.97
F: 0.6922 0.3082 0.6918  1 Rh 1.84
F: 0.1876 0.5893 0.1474  1 Rh 1.97
F: 0.6466 0.6882 0.5755  1 Rh 1.97
F: 0.1922 0.1918 0.8082  1 Rh 1.84
F: 0.1466 0.0755 0.1882  1 Rh 1.97
F: 0.3534 0.3118 0.4245  1 Rh 1.97
F: 0.4243 0.9107 0.3526  1 Rh 1.97
F: 0.5000 0.5000 0.5000  2 Rh 2.01
F: 0.0757 0.1474 0.5893  1 Rh 1.97
F: 0.0000 0.0000 0.0000  2 Rh 2.01
F: 0.9243 0.8526 0.4107  1 Rh 1.97
F: 0.5757 0.0893 0.6474  1 Rh 1.97
F: 0.9103 0.4245 0.3118  1 Rh 1.97
F: 0.0897 0.5755 0.6882  1 Rh 1.97
F: 0.8124 0.4107 0.8526  1 Rh 1.97
F: 0.4103 0.8118 0.9245  1 Rh 1.97
F: 0.3078 0.6918 0.3082  1 Rh 1.84
F: 0.6876 0.6474 0.0893  1 Rh 1.97
F: 0.8078 0.8082 0.1918  1 Rh 1.84
F: 0.5897 0.1882 0.0755  1 Rh 1.97
F: 0.8534 0.9245 0.8118  1 Rh 1.97
Rh: 0.1607 0.8390 0.1610  6 F 1.84-2.01
Rh: 0.8393 0.1610 0.8390  6 F 1.84-2.01
Rh: 0.6607 0.6610 0.3390  6 F 1.84-2.01
Rh: 0.3393 0.3390 0.6610  6 F 1.84-2.01
Pm: 0.2500 0.2500 0.2500  8 F 2.37
Pm: 0.7500 0.7500 0.7500  8 F 2.37



Below is crystalline SmY2Er2Tm2 at its relaxed geometry, with properties calculated at the PBE level.

Results
- Magnetization: 0.00 Bohr magnetons per cell
- D(E_F): 12.08 states/eV/f.u.
- Total DFT energy (no corrections): -35.08 eV per formula unit
- Energy relative to the elements: 91 meV per atom

a b c (Å): 3.4961 6.0543 11.7431
angles (deg): 70.95 90.00 106.78
With the nearest neighbours (Å) after each atom.
Atoms (fractional coordinates):
Tm: 0.5535 0.1071 0.2294  3 Er 3.43-3.51, 4 Y 3.43-3.56, 2 Sm 3.49, 2 Tm 3.50
Tm: 0.4465 0.8929 0.7706  3 Er 3.43-3.51, 4 Y 3.43-3.56, 2 Sm 3.49, 2 Tm 3.50
Er: 0.7775 0.5550 0.3588  3 Tm 3.43-3.51, 4 Er 3.50-3.61, 3 Sm 3.51-3.54, 2 Y 3.56
Er: 0.2225 0.4450 0.6412  3 Tm 3.43-3.51, 4 Er 3.50-3.61, 3 Sm 3.51-3.54, 2 Y 3.56
Y: 0.3315 0.6630 0.0815  4 Tm 3.43-3.56, 5 Y 3.50-3.72, 2 Er 3.56
Y: 0.6685 0.3370 0.9185  4 Tm 3.43-3.56, 5 Y 3.50-3.72, 2 Er 3.56
Sm: 0.0000 0.0000 0.5000  4 Tm 3.49, 2 Sm 3.50, 6 Er 3.51-3.54



Below is crystalline LiEu2Ge at its relaxed geometry, with properties calculated at the PBE level.

Results
- Magnetization: 14.36 Bohr magnetons per cell
- D(E_F): 13.73 states/eV/f.u.
- Total DFT energy (no corrections): -28.40 eV per formula unit
- Energy relative to the elements: -331 meV per atom

a b c (Å): 4.1678 5.0521 5.0521
angles (deg): 90.00 90.00 90.00
With the nearest neighbours (Å) after each atom.
Atoms (fractional coordinates):
Eu: 0.0000 0.5000 0.0000  4 Ge 3.27, 4 Li 3.27, 4 Eu 3.57
Eu: 0.0000 0.0000 0.5000  4 Ge 3.27, 4 Li 3.27, 4 Eu 3.57
Li: 0.5000 0.0000 0.0000  8 Eu 3.27, 4 Ge 3.57
Ge: 0.5000 0.5000 0.5000  8 Eu 3.27, 4 Li 3.57



Below is crystalline MgPRh2 at its relaxed geometry, with properties calculated at the PBE level.

Results
- Magnetization: 0.00 Bohr magnetons per cell
- D(E_F): 2.37 states/eV/f.u.
- Total DFT energy (no corrections): -23.66 eV per formula unit
- Energy relative to the elements: -487 meV per atom

a b c (Å): 4.3556 2.9864 4.7664
angles (deg): 71.70 90.00 90.00
With the nearest neighbours (Å) after each atom.
Atoms (fractional coordinates):
P: 0.5000 0.9132 0.7972  5 Rh 2.30-2.52
Rh: 0.5000 0.1919 0.2407  3 P 2.50-2.52
Rh: 0.0000 0.8314 0.9616  2 P 2.30, 3 Mg 2.44-2.57
Mg: 0.0000 0.5635 0.5005  3 Rh 2.44-2.57



Below is crystalline CrPt2Cl at its relaxed geometry, with properties calculated at the PBE level.

Results
- Magnetization: 4.00 Bohr magnetons per cell
- D(E_F): 4.67 states/eV/f.u.
- Energy relative to the lowest polymorph listed for this composition: 314 meV/atom
- Total DFT energy (no corrections): -22.37 eV per formula unit

a b c (Å): 2.8828 4.5446 5.0872
angles (deg): 90.00 90.00 90.00
With the nearest neighbours (Å) after each atom.
Atoms (fractional coordinates):
Cr: 0.0000 0.5000 0.5000  4 Cl 2.69, 2 Cr 2.88, 4 Pt 2.92
Pt: 0.0000 0.0000 0.0000  6 Pt 2.69-2.88, 4 Cl 2.92
Pt: 0.5000 0.5000 0.0000  6 Pt 2.69-2.88, 4 Cr 2.92
Cl: 0.5000 0.0000 0.5000  4 Cr 2.69, 2 Cl 2.88, 4 Pt 2.92



Below is crystalline Ca2Be3CuGe4 at its relaxed geometry, with properties calculated at the PBE level.

Results
- Magnetization: 0.00 Bohr magnetons per cell
- D(E_F): 2.70 states/eV/f.u.
- Total DFT energy (no corrections): -40.59 eV per formula unit
- Energy relative to the elements: -284 meV per atom

a b c (Å): 4.0425 4.0425 10.0752
angles (deg): 90.00 90.00 90.00
With the nearest neighbours (Å) after each atom.
Atoms (fractional coordinates):
Ge: 0.5000 0.0000 0.6370  3 Be 2.29-2.45, 2 Cu 2.45
Ge: 0.0000 0.0000 0.0000  4 Be 2.44
Ge: 0.5000 0.5000 0.0000  4 Be 2.44
Ge: 0.0000 0.5000 0.3630  3 Be 2.29-2.45, 2 Cu 2.45
Be: 0.0000 0.5000 0.1355  5 Ge 2.29-2.44
Be: 0.5000 0.0000 0.8645  5 Ge 2.29-2.44
Be: 0.0000 0.0000 0.5000  4 Ge 2.45
Ca: 0.5000 0.0000 0.2551  8 Ge 3.06-3.27, 6 Be 3.10-3.19, 2 Cu 3.19
Ca: 0.0000 0.5000 0.7449  8 Ge 3.06-3.27, 6 Be 3.10-3.19, 2 Cu 3.19
Cu: 0.5000 0.5000 0.5000  4 Ge 2.45



Below is crystalline La4Ni3Ru at its relaxed geometry, with properties calculated at the PBE level.

Results
- Magnetization: 0.00 Bohr magnetons per cell
- D(E_F): 5.53 states/eV/f.u.
- Total DFT energy (no corrections): -48.76 eV per formula unit
- Energy relative to the elements: -304 meV per atom

a b c (Å): 3.9263 4.2665 11.0120
angles (deg): 90.00 90.00 90.00
With the nearest neighbours (Å) after each atom.
Atoms (fractional coordinates):
Ni: 0.0000 0.5000 0.5701  2 Ni 2.62
Ni: 0.5000 0.0000 0.9175  2 Ru 2.81, 7 La 2.95-3.12
Ni: 0.0000 0.0000 0.4323  2 Ni 2.62
La: 0.5000 0.5000 0.3576  6 Ni 3.01-3.05, 1 Ru 3.02
La: 0.5000 0.0000 0.6339  7 Ni 2.96-3.12
La: 0.0000 0.0000 0.1371  4 Ru 2.96, 3 Ni 3.12-3.25
La: 0.0000 0.5000 0.8681  5 Ni 2.95-3.28, 2 Ru 3.08
Ru: 0.5000 0.5000 0.0835  2 Ni 2.81, 7 La 2.96-3.08